Li2ScHg | PBE | relaxed

Output
- SG = C2/m
- energy (eV per atom) = -2.6975
- ΔH_f (0 K) (eV/f.u.) = -0.3

a = 5.1001 Å, b = 5.9757 Å, c = 3.1580 Å
α = 75.99°, β = 87.02°, γ = 114.39°
Last column: nearest neighbours and their distance in Å.
Element x y z (fractional)
Hg 0.5000 0.5000 0.0000  4 Sc 2.93-3.07, 4 Li 3.02, 2 Hg 3.16
Li 0.0000 0.0000 0.0000  6 Li 2.93-3.16, 2 Sc 3.02, 2 Hg 3.02
Li 0.5000 0.0000 0.5000  6 Li 2.93-3.16, 2 Hg 3.02, 2 Sc 3.02
Sc 0.0000 0.5000 0.5000  4 Hg 2.93-3.07, 4 Li 3.02, 2 Sc 3.16